[1]
AlAsCl2 PBE relaxed; space-group type = I-4m2, No. 119; calculated total energy = -2.936 eV per atom; E_form (uncorrected) = 33 kJ/mol of formula units; V = 21.8 A^3/atom
1.0
-1.924 1.924 5.897
1.924 -1.924 5.897
1.924 1.924 -5.897
Al As Cl
1 1 2
Cartesian
0.000 0.000 0.000 Al
1.924 0.000 2.948 As
0.000 0.000 5.897 Cl
0.000 1.924 2.948 Cl

[2]
YLuNi4 PBE relaxed; formation energy from the elements = -2.804 eV/f.u.; space-group type = F-43m, No. 216; calculated total energy = -6.152 eV per atom; V = 15.1 A^3/atom
1.0
0.000 3.566 3.566
3.566 0.000 3.566
3.566 3.566 0.000
Y Lu Ni
1 1 4
Cartesian
0.000 0.000 0.000 Y
5.349 5.349 5.349 Lu
2.679 2.679 2.679 Ni
4.453 4.453 2.679 Ni
4.453 2.679 4.453 Ni
2.679 4.453 4.453 Ni

[3]
K4TiP2 PBE relaxed; formation energy from the elements = 3.487 eV/f.u.; space-group type = I4/mmm, No. 139; calculated total energy = -2.803 eV per atom; V = 48.9 A^3/atom
1.0
-3.321 3.321 7.766
3.321 -3.321 7.766
3.321 3.321 -7.766
K Ti P
4 1 2
Cartesian
3.321 0.000 0.000 K
0.000 0.000 3.667 K
0.000 3.321 0.000 K
0.000 0.000 11.864 K
0.000 0.000 0.000 Ti
0.000 0.000 6.727 P
0.000 0.000 8.805 P

[4]
YTaAs2 PBE relaxed; formation energy from the elements = -0.080 eV/f.u.; space-group type = P4mm, No. 99; calculated total energy = -6.924 eV per atom; V = 23.0 A^3/atom
1.0
2.998 0.000 0.000
0.000 2.998 0.000
0.000 0.000 10.245
Y Ta As
1 1 2
Cartesian
0.000 0.000 0.000 Y
1.499 1.499 7.679 Ta
0.000 0.000 5.746 As
1.499 1.499 2.174 As

[5]
NdTlNi2 PBE relaxed; formation energy from the elements = -0.673 eV/f.u.; space-group type = R-3m, No. 166; calculated total energy = -4.842 eV per atom; V = 19.9 A^3/atom
1.0
2.254 1.301 4.520
-2.254 1.301 4.520
0.000 -2.602 4.520
Nd Tl Ni
1 1 2
Cartesian
0.000 0.000 0.000 Nd
0.000 0.000 6.780 Tl
0.000 0.000 2.803 Ni
0.000 0.000 10.757 Ni

[6]
Pm5NdTm2Sc PBE relaxed; formation energy from the elements = 1.478 eV/f.u.; space-group type = Cmc2_1, No. 36; calculated total energy = -4.702 eV per atom; V = 33.0 A^3/atom
1.0
2.807 -10.127 0.000
2.807 10.127 0.000
0.000 0.000 10.461
Pm Nd Tm Sc
10 2 4 2
Cartesian
2.807 9.816 5.230 Pm
2.807 7.602 2.329 Pm
2.807 6.058 5.575 Pm
2.807 5.579 9.619 Pm
2.807 0.335 2.374 Pm
2.807 -0.335 7.604 Pm
2.807 -5.579 4.389 Pm
2.807 -6.058 0.345 Pm
2.807 -7.602 7.560 Pm
2.807 -9.816 0.000 Pm
2.807 8.271 8.209 Nd
2.807 -8.271 2.979 Nd
2.807 2.356 5.280 Tm
2.807 2.272 9.765 Tm
2.807 -2.272 4.534 Tm
2.807 -2.356 0.049 Tm
2.807 3.942 2.368 Sc
2.807 -3.942 7.598 Sc